Material: KTlWO4
Method: DFT, PBE with a Hubbard U
State: optimized geometry

Calculated values
For the total magnetization, the calculation gives 0.00 μB/f.u. The calculated total energy is -6.1159 eV/atom. The density of states at the Fermi level is 0.00 states/eV per cell.

Cell: 7.2084 6.5240 7.5597 Å, 90.00 99.13 90.00°
Closest atoms and distances in Å follow each position.
Space group P2_1/m (No. 11)
Symmetry-distinct sites (fractional):
K 0.1795 0.2500 0.1094 [2 per cell]  5 O 2.73-2.92
Tl 0.3149 0.2500 0.6320 [2 per cell]  3 O 2.51-2.72
W 0.3094 0.7500 0.8628 [2 per cell]  4 O 1.81-1.83
O 0.1565 0.5251 0.8342 [4 per cell]  1 W 1.83
O 0.4474 0.7500 0.0861 [2 per cell]  1 W 1.82
O 0.4647 0.7500 0.6967 [2 per cell]  1 W 1.81